No. 1
Here is crystalline Cs4CuAg3F12 at its relaxed geometry from Alexandria. Energies are from PBE.

```
20
Lattice="-4.460 4.460 4.460 4.460 -4.460 4.460 4.460 4.460 -4.460" Properties=species:S:1:pos:R:3 pbc="T T T"
Cs 2.230 2.230 -2.230
Cs 2.230 -2.230 2.230
Cs -2.230 2.230 2.230
Cs 2.230 2.230 2.230
Cu 0.000 0.000 0.000
Ag 4.460 0.000 0.000
Ag 0.000 4.460 0.000
Ag 0.000 0.000 4.460
F 1.976 0.000 0.000
F 6.945 0.000 0.000
F 0.000 1.976 0.000
F 0.000 0.000 1.976
F 4.460 2.230 0.000
F 4.460 0.000 2.230
F 2.230 4.460 0.000
F 2.230 0.000 4.460
F 0.000 4.460 2.230
F 0.000 2.230 4.460
F 0.000 6.945 0.000
F 0.000 0.000 6.945
```

Properties
- ΔE_f (raw) (meV/atom) = -1934
- M_tot (Bohr magnetons per cell) = 1.5
- symmetry = Im-3m
- density of states at the Fermi level (states/eV/atom) = 0.174
- uncorrected energy (eV per atom) = -3.8602

No. 2
Here is crystalline Cs2Cu2AgF6 at its relaxed geometry from Alexandria. Energies are from PBE.

```
11
Lattice="5.809 -3.188 0.000 5.809 3.188 0.000 -3.015 0.000 5.905" Properties=species:S:1:pos:R:3 pbc="T T T"
Cs 2.005 0.000 1.053
Cs 6.597 0.000 4.853
Cu 2.702 0.000 4.578
Cu 5.900 0.000 1.327
Ag -1.508 0.000 2.953
F 4.706 1.509 1.301
F 0.874 0.000 4.121
F 3.896 1.509 4.604
F 4.706 -1.509 1.301
F 7.728 0.000 1.784
F 3.896 -1.509 4.604
```

Properties
- ΔE_f (raw) (meV/atom) = -1765
- M_tot (Bohr magnetons per cell) = 1.0
- symmetry = C2/m
- density of states at the Fermi level (states/eV/atom) = 0.522
- uncorrected energy (eV per atom) = -3.9454

Look up the M_tot of the second one. 1.0 Bohr magnetons per cell

ΔE_f (raw) of number 1 (Cs4CuAg3F12)? -1934 meV/atom